Entry one
First-principles (GGA-PBE) data for a relaxed Nb2OF crystal, as listed in the Alexandria database.

Cell: 4.1073 4.1073 7.2258 Å, 73.49 73.49 90.00°
Last column: nearest neighbours and their distance in Å.
Positions (direct):
1 O 0.2500 0.7500 0.5000  4 Nb 2.14
2 Nb 0.1592 0.6250 0.2500  2 O 2.14, 2 F 2.27
3 Nb 0.5908 0.1250 0.2500  2 O 2.14, 2 F 2.27
4 F 0.7500 0.2500 0.5000  4 Nb 2.27
5 Nb 0.3750 0.4092 0.7500  2 O 2.14, 2 F 2.27
6 O 0.5000 0.5000 0.0000  4 Nb 2.14
7 Nb 0.8750 0.8408 0.7500  2 O 2.14, 2 F 2.27
8 F 0.0000 0.0000 0.0000  4 Nb 2.27

Values from the calculation:
Crystal system: tetragonal
Mass density, g cm⁻³: 6.57
N(E_F), states/eV per cell: 3.4

***

Entry two
First-principles (GGA-PBE) data for a relaxed Nb2OF crystal, as listed in the Alexandria database.

Cell: 4.1217 4.1217 4.1217 Å, 60.00 60.00 60.00°
Last column: nearest neighbours and their distance in Å.
Positions (direct):
1 Nb 0.2500 0.2500 0.2500  4 O 2.52, 4 F 2.52
2 O 0.0000 0.0000 0.0000  8 Nb 2.52
3 F 0.5000 0.5000 0.5000  8 Nb 2.52
4 Nb 0.7500 0.7500 0.7500  4 O 2.52, 4 F 2.52

Values from the calculation:
Crystal system: cubic
Mass density, g cm⁻³: 7.41
N(E_F), states/eV per cell: 3.2

***

Most stable structure - entry one; separation to the second - 62.3 kJ/mol of atoms.

***

Entry one
First-principles (GGA-PBE) data for a relaxed Nb2OF8 crystal, as listed in the Alexandria database.

Cell: 4.1725 7.2595 7.2595 Å, 78.57 84.16 84.16°
Last column: nearest neighbours and their distance in Å.
Positions (direct):
1 F 0.7682 0.9651 0.3683  1 Nb 1.90
2 F 0.8751 0.3386 0.3386  1 Nb 1.89
3 F 0.2318 0.0349 0.6317  1 Nb 1.90
4 Nb 0.8607 0.1710 0.1710  5 F 1.89-2.11, 1 O 1.93
5 Nb 0.1393 0.8290 0.8290  5 F 1.89-2.11, 1 O 1.93
6 F 0.1249 0.6614 0.6614  1 Nb 1.89
7 F 0.2318 0.6317 0.0349  1 Nb 1.90
8 F 0.7682 0.3683 0.9651  1 Nb 1.90
9 F 0.6444 0.8275 0.8275  2 Nb 2.07-2.11
10 O 0.0000 0.0000 0.0000  2 Nb 1.93
11 F 0.3556 0.1725 0.1725  2 Nb 2.07-2.11

Values from the calculation:
Crystal system: monoclinic
Mass density, g cm⁻³: 2.75
N(E_F), states/eV per cell: 0.0

***

Entry two
First-principles (GGA-PBE) data for a relaxed Nb2OF8 crystal, as listed in the Alexandria database.

Cell: 5.3885 9.3624 15.5492 Å, 76.48 90.00 90.00°
Last column: nearest neighbours and their distance in Å.
Positions (direct):
1 F 0.8889 0.9492 0.4149  1 Nb 1.90
2 F 0.0812 0.0000 0.2500  2 Nb 2.12
3 F 0.0659 0.4031 0.4263  1 Nb 1.88
4 F 0.4791 0.8490 0.3151  1 Nb 1.90
5 O 0.0450 0.7149 0.3613  1 Nb 1.80
6 F 0.8380 0.5000 0.7500  2 Nb 2.14
7 F 0.9341 0.5969 0.5737  1 Nb 1.88
8 F 0.6627 0.0978 0.8786  1 Nb 1.87
9 F 0.5931 0.4568 0.1021  1 Nb 1.87
10 F 0.1111 0.0508 0.5851  1 Nb 1.90
11 F 0.6678 0.1871 0.5088  1 Nb 1.87
12 F 0.9188 0.0000 0.7500  2 Nb 2.12
13 Nb 0.9034 0.4488 0.1576  1 O 1.80, 2 F 1.87-1.88
14 F 0.0659 0.5969 0.0737  1 Nb 1.88
15 F 0.3322 0.1871 0.0088  1 Nb 1.87
16 Nb 0.7848 0.9100 0.8797  4 F 1.87-1.90
17 Nb 0.2152 0.0900 0.1203  4 F 1.87-1.90
18 F 0.6678 0.8129 0.9912  1 Nb 1.87
19 F 0.3373 0.0978 0.3786  1 Nb 1.87
20 O 0.0450 0.2851 0.1387  1 Nb 1.80
21 O 0.9550 0.7149 0.8613  1 Nb 1.80
22 Nb 0.7848 0.0900 0.6203  4 F 1.87-1.90
23 F 0.9341 0.4031 0.9263  1 Nb 1.88
24 F 0.2319 0.6350 0.7193  1 Nb 2.03
25 F 0.3373 0.9022 0.1214  1 Nb 1.87
26 F 0.4069 0.5432 0.8979  1 Nb 1.87
27 F 0.8889 0.0508 0.0851  1 Nb 1.90
28 Nb 0.0966 0.5512 0.8424  1 O 1.80, 2 F 1.87-1.88
29 F 0.7681 0.6350 0.2193  1 Nb 2.03
30 F 0.5931 0.5432 0.3979  1 Nb 1.87
31 F 0.1111 0.9492 0.9149  1 Nb 1.90
32 F 0.7681 0.3650 0.2807  1 Nb 2.03
33 F 0.4791 0.1510 0.1849  1 Nb 1.90
34 O 0.9550 0.2851 0.6387  1 Nb 1.80
35 F 0.5209 0.8490 0.8151  1 Nb 1.90
36 Nb 0.9034 0.5512 0.3424  1 O 1.80, 2 F 1.87-1.88
37 Nb 0.0966 0.4488 0.6576  1 O 1.80, 2 F 1.87-1.88
38 F 0.2319 0.3650 0.7807  1 Nb 2.03
39 F 0.6627 0.9022 0.6214  1 Nb 1.87
40 F 0.3322 0.8129 0.4912  1 Nb 1.87
41 F 0.1620 0.5000 0.2500  2 Nb 2.14
42 F 0.4069 0.4568 0.6021  1 Nb 1.87
43 F 0.5209 0.1510 0.6849  1 Nb 1.90
44 Nb 0.2152 0.9100 0.3797  4 F 1.87-1.90

Values from the calculation:
Crystal system: monoclinic
Mass density, g cm⁻³: 3.08
N(E_F), states/eV per cell: 0.0

***

Most stable structure - entry two; separation to the second - 5.3 kJ/mol of atoms.

***

Entry one
First-principles (GGA-PBE) data for a relaxed NbOsOF2 crystal, as listed in the Alexandria database.

Cell: 4.3415 4.3415 3.9687 Å, 90.00 90.00 90.00°
Last column: nearest neighbours and their distance in Å.
Positions (direct):
1 O 0.0000 0.0000 0.5000  2 Nb 1.98
2 Nb 0.0000 0.0000 0.0000  2 O 1.98, 4 F 2.17
3 Os 0.5000 0.5000 0.5000  8 F 2.94, 4 O 3.07
4 F 0.0000 0.5000 0.0000  2 Nb 2.17
5 F 0.5000 0.0000 0.0000  2 Nb 2.17

Values from the calculation:
Crystal system: tetragonal
Mass density, g cm⁻³: 7.48
N(E_F), states/eV per cell: 3.9

***

Entry two
First-principles (GGA-PBE) data for a relaxed NbOsOF2 crystal, as listed in the Alexandria database.

Cell: 4.4736 4.4736 3.7342 Å, 90.00 90.00 90.00°
Last column: nearest neighbours and their distance in Å.
Positions (direct):
1 Nb 0.5000 0.5000 0.5000  8 F 2.91, 4 O 3.16
2 Os 0.0000 0.0000 0.0000  2 O 1.87
3 O 0.0000 0.0000 0.5000  2 Os 1.87
4 F 0.5000 0.0000 0.0000  2 Os 2.24
5 F 0.0000 0.5000 0.0000  2 Os 2.24

Values from the calculation:
Crystal system: tetragonal
Mass density, g cm⁻³: 7.49
N(E_F), states/eV per cell: 6.3

***

Most stable structure - entry one; separation to the second - 39.5 kJ/mol of atoms.

***

Entry one
First-principles (GGA-PBE) data for a relaxed NbPOF2 crystal, as listed in the Alexandria database.

Cell: 4.3306 4.3306 3.9480 Å, 90.00 90.00 90.00°
Last column: nearest neighbours and their distance in Å.
Positions (direct):
1 Nb 0.0000 0.0000 0.0000  2 O 1.97, 4 F 2.17
2 P 0.5000 0.5000 0.5000  8 F 2.93, 4 O 3.06
3 F 0.0000 0.5000 0.0000  2 Nb 2.17
4 F 0.5000 0.0000 0.0000  2 Nb 2.17
5 O 0.0000 0.0000 0.5000  2 Nb 1.97

Values from the calculation:
Crystal system: tetragonal
Mass density, g cm⁻³: 3.99
N(E_F), states/eV per cell: 1.9

***

Entry two
First-principles (GGA-PBE) data for a relaxed NbPOF2 crystal, as listed in the Alexandria database.

Cell: 4.5966 4.5966 3.3786 Å, 90.00 90.00 90.00°
Last column: nearest neighbours and their distance in Å.
Positions (direct):
1 F 0.0000 0.5000 0.0000  2 P 2.30
2 P 0.0000 0.0000 0.0000  2 O 1.69
3 O 0.0000 0.0000 0.5000  2 P 1.69
4 F 0.5000 0.0000 0.0000  2 P 2.30
5 Nb 0.5000 0.5000 0.5000  8 F 2.85

Values from the calculation:
Crystal system: tetragonal
Mass density, g cm⁻³: 4.14
N(E_F), states/eV per cell: 4.4

***

Most stable structure - entry one; separation to the second - 81.4 kJ/mol of atoms.

***

Entry one
First-principles (GGA-PBE) data for a relaxed NbPdOF2 crystal, as listed in the Alexandria database.

Cell: 4.2072 4.2072 3.9479 Å, 90.00 90.00 90.00°
Last column: nearest neighbours and their distance in Å.
Positions (direct):
1 Nb 0.0000 0.0000 0.0000  2 O 1.97, 4 F 2.10
2 F 0.5000 0.0000 0.0000  2 Nb 2.10
3 O 0.0000 0.0000 0.5000  2 Nb 1.97
4 F 0.0000 0.5000 0.0000  2 Nb 2.10
5 Pd 0.5000 0.5000 0.5000  8 F 2.88, 4 O 2.97

Values from the calculation:
Crystal system: tetragonal
Mass density, g cm⁻³: 6.02
N(E_F), states/eV per cell: 3.6

***

Entry two
First-principles (GGA-PBE) data for a relaxed NbPdOF2 crystal, as listed in the Alexandria database.

Cell: 4.1970 4.1970 4.1075 Å, 90.00 90.00 90.00°
Last column: nearest neighbours and their distance in Å.
Positions (direct):
1 Pd 0.0000 0.0000 0.0000  2 O 2.05, 4 F 2.10
2 O 0.0000 0.0000 0.5000  2 Pd 2.05
3 F 0.0000 0.5000 0.0000  2 Pd 2.10
4 Nb 0.5000 0.5000 0.5000  8 F 2.94, 4 O 2.97
5 F 0.5000 0.0000 0.0000  2 Pd 2.10

Values from the calculation:
Crystal system: tetragonal
Mass density, g cm⁻³: 5.81
N(E_F), states/eV per cell: 6.7

***

Most stable structure - entry one; separation to the second - 120.6 kJ/mol of atoms.

***

Entry one
First-principles (GGA-PBE) data for a relaxed NbPtOF2 crystal, as listed in the Alexandria database.

Cell: 4.3619 4.3619 3.9944 Å, 90.00 90.00 90.00°
Last column: nearest neighbours and their distance in Å.
Positions (direct):
1 F 0.5000 0.0000 0.0000  2 Pt 2.18
2 F 0.0000 0.5000 0.0000  2 Pt 2.18
3 Nb 0.5000 0.5000 0.5000  8 F 2.96, 4 O 3.08
4 Pt 0.0000 0.0000 0.0000  2 O 2.00, 4 F 2.18
5 O 0.0000 0.0000 0.5000  2 Pt 2.00

Values from the calculation:
Crystal system: tetragonal
Mass density, g cm⁻³: 7.47
N(E_F), states/eV per cell: 7.7

***

Entry two
First-principles (GGA-PBE) data for a relaxed NbPtOF2 crystal, as listed in the Alexandria database.

Cell: 4.2017 4.2017 3.9528 Å, 90.00 90.00 90.00°
Last column: nearest neighbours and their distance in Å.
Positions (direct):
1 Nb 0.0000 0.0000 0.0000  2 O 1.98, 4 F 2.10
2 O 0.0000 0.0000 0.5000  2 Nb 1.98
3 Pt 0.5000 0.5000 0.5000  8 F 2.88, 4 O 2.97
4 F 0.5000 0.0000 0.0000  2 Nb 2.10
5 F 0.0000 0.5000 0.0000  2 Nb 2.10

Values from the calculation:
Crystal system: tetragonal
Mass density, g cm⁻³: 8.14
N(E_F), states/eV per cell: 3.2

***

Most stable structure - entry two; separation to the second - 108.9 kJ/mol of atoms.

***

Entry one
First-principles (GGA-PBE) data for a relaxed RbNbOF2 crystal, as listed in the Alexandria database.

Cell: 4.4632 4.4632 4.0597 Å, 90.00 90.00 90.00°
Last column: nearest neighbours and their distance in Å.
Positions (direct):
1 Nb 0.0000 0.0000 0.0000  2 O 2.03, 4 F 2.23
2 O 0.0000 0.0000 0.5000  2 Nb 2.03
3 F 0.0000 0.5000 0.0000  2 Nb 2.23
4 Rb 0.5000 0.5000 0.5000  8 F 3.02, 4 O 3.16
5 F 0.5000 0.0000 0.0000  2 Nb 2.23

Values from the calculation:
Crystal system: tetragonal
Mass density, g cm⁻³: 4.77
N(E_F), states/eV per cell: 0.8

***

Entry two
First-principles (GGA-PBE) data for a relaxed RbNbOF2 crystal, as listed in the Alexandria database.

Cell: 4.8025 4.8025 4.3829 Å, 90.00 90.00 90.00°
Last column: nearest neighbours and their distance in Å.
Positions (direct):
1 F 0.5000 0.0000 0.0000  2 Rb 2.40
2 Nb 0.5000 0.5000 0.5000  8 F 3.25, 4 O 3.40
3 Rb 0.0000 0.0000 0.0000  2 O 2.19, 4 F 2.40
4 F 0.0000 0.5000 0.0000  2 Rb 2.40
5 O 0.0000 0.0000 0.5000  2 Rb 2.19

Values from the calculation:
Crystal system: tetragonal
Mass density, g cm⁻³: 3.82
N(E_F), states/eV per cell: 9.1

***

Most stable structure - entry one; separation to the second - 223.1 kJ/mol of atoms.

***

Entry one
First-principles (GGA-PBE) data for a relaxed NbReOF2 crystal, as listed in the Alexandria database.

Cell: 4.3944 4.3944 3.7790 Å, 90.00 90.00 90.00°
Last column: nearest neighbours and their distance in Å.
Positions (direct):
1 F 0.0000 0.5000 0.0000  2 Re 2.20
2 F 0.5000 0.0000 0.0000  2 Re 2.20
3 Nb 0.5000 0.5000 0.5000  8 F 2.90, 4 O 3.11
4 O 0.0000 0.0000 0.5000  2 Re 1.89
5 Re 0.0000 0.0000 0.0000  2 O 1.89

Values from the calculation:
Crystal system: tetragonal
Mass density, g cm⁻³: 7.58
N(E_F), states/eV per cell: 5.8

***

Entry two
First-principles (GGA-PBE) data for a relaxed NbReOF2 crystal, as listed in the Alexandria database.

Cell: 4.4179 4.4179 3.9984 Å, 90.00 90.00 90.00°
Last column: nearest neighbours and their distance in Å.
Positions (direct):
1 O 0.0000 0.0000 0.5000  2 Nb 2.00
2 Re 0.5000 0.5000 0.5000  8 F 2.98, 4 O 3.12
3 Nb 0.0000 0.0000 0.0000  2 O 2.00, 4 F 2.21
4 F 0.5000 0.0000 0.0000  2 Nb 2.21
5 F 0.0000 0.5000 0.0000  2 Nb 2.21

Values from the calculation:
Crystal system: tetragonal
Mass density, g cm⁻³: 7.09
N(E_F), states/eV per cell: 2.1

***

Most stable structure - entry two; separation to the second - 31.3 kJ/mol of atoms.

***

Entry one
First-principles (GGA-PBE) data for a relaxed NbSeOF2 crystal, as listed in the Alexandria database.

Cell: 4.3342 4.3342 3.9512 Å, 90.00 90.00 90.00°
Last column: nearest neighbours and their distance in Å.
Positions (direct):
1 Se 0.5000 0.5000 0.5000  8 F 2.93, 4 O 3.06
2 F 0.5000 0.0000 0.0000  2 Nb 2.17
3 O 0.0000 0.0000 0.5000  2 Nb 1.98
4 F 0.0000 0.5000 0.0000  2 Nb 2.17
5 Nb 0.0000 0.0000 0.0000  2 O 1.98, 4 F 2.17

Values from the calculation:
Crystal system: tetragonal
Mass density, g cm⁻³: 5.05
N(E_F), states/eV per cell: 2.8

***

Entry two
First-principles (GGA-PBE) data for a relaxed NbSeOF2 crystal, as listed in the Alexandria database.

Cell: 4.6627 4.6627 3.7669 Å, 90.00 90.00 90.00°
Last column: nearest neighbours and their distance in Å.
Positions (direct):
1 Se 0.0000 0.0000 0.0000  2 O 1.88
2 F 0.5000 0.0000 0.0000  2 Se 2.33
3 O 0.0000 0.0000 0.5000  2 Se 1.88
4 F 0.0000 0.5000 0.0000  2 Se 2.33
5 Nb 0.5000 0.5000 0.5000  8 F 3.00, 4 O 3.30

Values from the calculation:
Crystal system: tetragonal
Mass density, g cm⁻³: 4.58
N(E_F), states/eV per cell: 6.7

***

Most stable structure - entry one; separation to the second - 137.9 kJ/mol of atoms.

***

Entry one
First-principles (GGA-PBE) data for a relaxed SrNbOF2 crystal, as listed in the Alexandria database.

Cell: 4.4793 4.4793 4.0752 Å, 90.00 90.00 90.00°
Last column: nearest neighbours and their distance in Å.
Positions (direct):
1 O 0.0000 0.0000 0.5000  2 Nb 2.04
2 F 0.5000 0.0000 0.0000  2 Nb 2.24
3 F 0.0000 0.5000 0.0000  2 Nb 2.24
4 Nb 0.0000 0.0000 0.0000  2 O 2.04, 4 F 2.24
5 Sr 0.5000 0.5000 0.5000  8 F 3.03, 4 O 3.17

Values from the calculation:
Crystal system: tetragonal
Mass density, g cm⁻³: 4.76
N(E_F), states/eV per cell: 3.1

***

Entry two
First-principles (GGA-PBE) data for a relaxed SrNbOF2 crystal, as listed in the Alexandria database.

Cell: 4.4544 4.4544 4.9503 Å, 90.00 90.00 90.00°
Last column: nearest neighbours and their distance in Å.
Positions (direct):
1 O 0.0000 0.0000 0.5000  2 Sr 2.48
2 F 0.0000 0.5000 0.0000  2 Sr 2.23
3 Sr 0.0000 0.0000 0.0000  4 F 2.23, 2 O 2.48
4 Nb 0.5000 0.5000 0.5000  4 O 3.15, 8 F 3.33
5 F 0.5000 0.0000 0.0000  2 Sr 2.23

Values from the calculation:
Crystal system: tetragonal
Mass density, g cm⁻³: 3.96
N(E_F), states/eV per cell: 4.3

***

Most stable structure - entry one; separation to the second - 86.3 kJ/mol of atoms.

***

Entry one
First-principles (GGA-PBE) data for a relaxed NbTl2OF crystal, as listed in the Alexandria database.

Cell: 5.6538 4.0700 5.6538 Å, 90.00 90.00 90.00°
Last column: nearest neighbours and their distance in Å.
Positions (direct):
1 Tl 0.5000 0.0000 0.0000  2 Nb 2.83
2 Nb 0.0000 0.0000 0.0000  2 F 2.03
3 O 0.5000 0.5000 0.5000  8 Tl 3.48
4 F 0.0000 0.5000 0.0000  2 Nb 2.03
5 Tl 0.0000 0.0000 0.5000  2 Nb 2.83

Values from the calculation:
Crystal system: tetragonal
Mass density, g cm⁻³: 6.85
N(E_F), states/eV per cell: 5.6

***

Entry two
First-principles (GGA-PBE) data for a relaxed NbTl2OF crystal, as listed in the Alexandria database.

Cell: 5.1469 3.5200 5.1469 Å, 90.00 90.00 90.00°
Last column: nearest neighbours and their distance in Å.
Positions (direct):
1 O 0.0000 0.0000 0.0000  2 F 1.76
2 Nb 0.5000 0.5000 0.5000  8 Tl 3.12
3 Tl 0.0000 0.0000 0.5000  2 O 2.57
4 F 0.0000 0.5000 0.0000  2 O 1.76
5 Tl 0.5000 0.0000 0.0000  2 O 2.57

Values from the calculation:
Crystal system: tetragonal
Mass density, g cm⁻³: 9.56
N(E_F), states/eV per cell: 5.8

***

Most stable structure - entry one; separation to the second - 32.4 kJ/mol of atoms.